[1]
First-principles (PBE-GGA) data for crystalline CeAsPPd at its relaxed geometry, as listed in Alexandria via LeMat-Bulk.

The space group is Imm2 (No. 44) and the conventional cell measures 3.958, 4.139 and 10.081 Å, with angles of 90.00, 90.00 and 90.00 degrees. The inequivalent atoms are Ce at (0.000, 0.000, 0.000), As at (0.000, 0.000, 0.375), P at (0.000, 0.000, 0.607) and Pd at (0.000, 0.500, 0.238).

Its electronic total energy is -0.4597 Ry/atom. As for the energy relative to the elements: -958 meV per atom. The value obtained for the total magnetization is 0.3 μB per formula unit.

---

[2]
First-principles (PBE-GGA) data for crystalline Pm3TmRh4 at its relaxed geometry, as listed in Alexandria via LeMat-Bulk.

The space group is I4/mmm (No. 139) and the conventional cell measures 4.911, 4.911 and 14.032 Å, with angles of 90.00, 90.00 and 90.00 degrees. The inequivalent atoms are Pm at (0.000, 0.000, 0.000), Pm at (0.000, 0.000, 0.251), Tm at (0.000, 0.000, 0.500) and Rh at (0.000, 0.500, 0.121).

Its electronic total energy is -0.4969 Ry/atom. As for the energy relative to the elements: -745 meV per atom. The value obtained for the total magnetization is 0.0 μB per formula unit.

---

[3]
First-principles (PBE-GGA) data for crystalline Nb2AlGe at its relaxed geometry, as listed in Alexandria via LeMat-Bulk.

The space group is R-3m (No. 166, hexagonal axes) and the conventional cell measures 4.2547, 4.2547 and 21.2901 Å, with angles of 90.00, 90.00 and 120.00 degrees. The inequivalent atoms are Nb at (0.0000, 0.0000, 0.1297), Al at (0.0000, 0.0000, 0.0000) and Ge at (0.0000, 0.0000, 0.5000).

Its electronic total energy is -0.4711 Ry/atom. As for the energy relative to the elements: 715 meV per atom. The value obtained for the total magnetization is 0.0 μB per formula unit.

---

[4]
First-principles (PBE-GGA) data for crystalline ScCuBiRh at its relaxed geometry, as listed in Alexandria via LeMat-Bulk.

The space group is F-43m (No. 216) and the conventional cell measures 6.631, 6.631 and 6.631 Å, with angles of 90.00, 90.00 and 90.00 degrees. The inequivalent atoms are Sc at (0.000, 0.000, 0.000), Cu at (0.250, 0.250, 0.250), Bi at (0.000, 0.000, 0.500) and Rh at (0.250, 0.250, 0.750).

Its electronic total energy is -0.4245 Ry/atom. As for the energy relative to the elements: -360 meV per atom. The value obtained for the total magnetization is 0.0 μB per formula unit.

---

[5]
First-principles (PBE-GGA) data for crystalline TlCr2W at its relaxed geometry, as listed in Alexandria via LeMat-Bulk.

The space group is Imm2 (No. 44) and the conventional cell measures 3.106, 4.422 and 8.940 Å, with angles of 90.00, 90.00 and 90.00 degrees. The inequivalent atoms are Tl at (0.000, 0.000, 0.000), Cr at (0.000, 0.000, 0.476), Cr at (0.000, 0.500, 0.762) and W at (0.000, 0.500, 0.224).

Its electronic total energy is -0.5852 Ry/atom. As for the energy relative to the elements: 680 meV per atom. For the polymorph energy (0 for the lowest one), the calculation gives 0.216 eV per atom. The value obtained for the total magnetization is 0.8 μB per formula unit.

---

[6]
First-principles (PBE-GGA) data for crystalline LaSnHPd at its relaxed geometry, as listed in Alexandria via LeMat-Bulk.

The space group is P-6m2 (No. 187) and the conventional cell measures 4.8173, 4.8173 and 3.7807 Å, with angles of 90.00, 90.00 and 120.00 degrees. The inequivalent atoms are La at (0.0000, 0.0000, 0.0000), Sn at (0.3333, 0.6667, 0.5000), H at (0.6667, 0.3333, 0.0000) and Pd at (0.6667, 0.3333, 0.5000).

Its electronic total energy is -0.3757 Ry/atom. The value obtained for the total magnetization is 0.0 μB per formula unit.

---

[7]
First-principles (PBE-GGA) data for crystalline Mn3Ga2N4 at its relaxed geometry, as listed in Alexandria via LeMat-Bulk.

The space group is C2/c (No. 15) and the conventional cell measures 11.782, 6.581 and 5.191 Å, with angles of 90.00, 106.15 and 90.00 degrees. The inequivalent atoms are Mn at (0.000, 0.070, 0.250), Mn at (0.079, 0.392, 0.131), Ga at (0.199, 0.135, 0.735), N at (0.095, 0.345, 0.498) and N at (0.105, 0.111, 0.012).

Its electronic total energy is -0.5465 Ry/atom. The value obtained for the total magnetization is 3.0 μB per formula unit.